{
  "formula": "SrAc3Sn4",
  "functional": "PBE",
  "state": "optimized geometry",
  "magmom_total_mub_per_atom": 0.00,
  "sg": "Immm (71)",
  "rho_g_cm3": 6.9,
  "delta_e_f_ev_per_atom": -0.55,
  "lattice": [[4.1350, 0.0000, 0.0000], [0.0000, 7.5852, -0.0664], [-2.0675, -3.7087, 9.5511]],
  "species": ["Sr", "Ac", "Ac", "Ac", "Sn", "Sn", "Sn", "Sn"],
  "frac_coords": [[0.0000, 0.0000, 0.0000], [0.2923, 0.7923, 0.5846], [0.7077, 0.2077, 0.4154], [0.5000, 0.5000, 0.0000], [0.8715, 0.1730, 0.7430], [0.1285, 0.8270, 0.2570], [0.8715, 0.5702, 0.7430], [0.1285, 0.4298, 0.2570]]
}